[1]
First-principles (PBE) data for CaSm2S3 after structural relaxation, as listed in Alexandria via LeMat-Bulk.

Properties
Magnetic moment   0.000 μB per atom
Excess energy over the best structure of this formula in the dataset   0.011 eV per atom
Energy relative to the elements, uncorrected   -12.305 eV/f.u.

Cell: 3.985 5.665 12.124 Å, 90.00 90.00 90.00°
Space group Immm (No. 71)
Symmetry-distinct sites (fractional):
Ca: 0.000 0.000 0.000 (multiplicity 2)
Sm: 0.000 0.000 0.334 (multiplicity 4)
S: 0.000 0.500 0.000 (multiplicity 2)
S: 0.000 0.500 0.336 (multiplicity 4)



[2]
First-principles (PBE) data for Sr3ErCu2O6 after structural relaxation, as listed in Alexandria via LeMat-Bulk.

Properties
Magnetic moment   0.086 μB per atom
Energy relative to the elements, uncorrected   -24.128 eV/f.u.

Cell: 6.0335 6.0335 6.4498 Å, 90.00 90.00 120.00°
Space group P-3m1 (No. 164)
Symmetry-distinct sites (fractional):
Sr: 0.0000 0.0000 0.0000 (multiplicity 1)
Sr: 0.3333 0.6667 0.6309 (multiplicity 2)
Er: 0.0000 0.0000 0.5000 (multiplicity 1)
Cu: 0.3333 0.6667 0.1761 (multiplicity 2)
O: 0.1662 0.3323 0.2930 (multiplicity 6)



Record-wise calculated volume values, in Å³/f.u.: 137, 203